Entry 1:
DFT (GGA-PBE) results for a geometry-optimized ZnRe2Pb structure.

Lattice parameters (Å, degrees): 4.634 3.131 5.033 90.00 109.28 90.00
Positions (direct):
Zn (0.000, 0.000, 0.000)
Re (0.000, 0.500, 0.500)
Re (0.500, 0.000, 0.500)
Pb (0.500, 0.500, 0.000)

Values from the calculation:
The calculation puts the polymorph energy (0 for the lowest one) at 0.5345 eV per atom. The density of states at the Fermi level is 0.80 states/eV per atom. As for the space-group type: P2/m (10).


Entry 2:
DFT (GGA-PBE) results for a geometry-optimized ZnRe2Pb structure.

Lattice parameters (Å, degrees): 5.462 5.462 5.462 147.91 127.39 62.98
Positions (direct):
Zn (0.000, 0.000, 0.000)
Re (0.237, 0.737, 0.500)
Re (0.763, 0.263, 0.500)
Pb (0.500, 0.500, 0.000)

Values from the calculation:
The calculation puts the polymorph energy (0 for the lowest one) at 0.5552 eV per atom. The density of states at the Fermi level is 1.00 states/eV per atom. As for the space-group type: Immm (71).


Entry 3:
DFT (GGA-PBE) results for a geometry-optimized ZnRePb2 structure.

Lattice parameters (Å, degrees): 3.630 3.597 6.515 90.00 94.08 90.00
Positions (direct):
Zn (0.000, 0.000, 0.000)
Re (0.000, 0.000, 0.500)
Pb (0.485, 0.500, 0.260)
Pb (0.515, 0.500, 0.740)

Values from the calculation:
The density of states at the Fermi level is 0.65 states/eV per atom. The total DFT energy (no corrections) is -4.50 eV per atom. As for the space-group type: P2/m (10).


Entry 4:
DFT (GGA-PBE) results for a geometry-optimized ZnRePb2 structure.

Lattice parameters (Å, degrees): 4.521 5.521 5.521 38.06 90.00 90.00
Positions (direct):
Zn (0.000, 0.000, 0.000)
Re (0.500, 0.868, 0.868)
Pb (0.000, 0.277, 0.277)
Pb (0.500, 0.585, 0.585)

Values from the calculation:
The density of states at the Fermi level is 0.72 states/eV per atom. The total DFT energy (no corrections) is -4.68 eV per atom. As for the space-group type: Amm2 (38).


Entry 5:
DFT (GGA-PBE) results for a geometry-optimized ZnRe2Pb2 structure.

Lattice parameters (Å, degrees): 5.468 5.468 5.468 120.10 120.10 89.83
Positions (direct):
Zn (0.000, 0.000, 0.000)
Re (0.354, 0.354, 0.000)
Re (0.646, 0.646, 0.000)
Pb (0.250, 0.750, 0.500)
Pb (0.750, 0.250, 0.500)

Values from the calculation:
The density of states at the Fermi level is 0.73 states/eV per atom. The total DFT energy (no corrections) is -5.69 eV per atom. As for the space-group type: I4/mmm (139).


Entry 6:
DFT (GGA-PBE) results for a geometry-optimized ZnRePb2 structure.

Lattice parameters (Å, degrees): 5.242 5.242 5.440 96.75 96.75 35.36
Positions (direct):
Zn (0.000, 0.000, 0.000)
Re (0.500, 0.500, 0.500)
Pb (0.236, 0.236, 0.740)
Pb (0.764, 0.764, 0.260)

Values from the calculation:
The density of states at the Fermi level is 0.76 states/eV per atom. The total DFT energy (no corrections) is -4.40 eV per atom. As for the space-group type: C2/m (12).